# 1
Compound: Ce5Te2Os
Source: the Alexandria database
Functional: PBE
Structure: relaxed

Results
E, eV per atom: -6.645
E_form (uncorrected), eV/atom: -0.7470
Spin magnetization, μB/cell: 9.0
Energy above the lowest structure with this stoichiometry, eV per atom: 0.000

```
data_Ce5Te2Os
_chemical_formula_sum 'Ce10 Te4 Os2'
_cell_length_a 7.900
_cell_length_b 12.241
_cell_length_c 4.568
_cell_angle_alpha 90.00
_cell_angle_beta 90.00
_cell_angle_gamma 90.00
_symmetry_space_group_name_H-M 'P b a m'
_symmetry_Int_Tables_number 55
loop_
_symmetry_equiv_pos_as_xyz
'x,y,z'
'-x,-y,-z'
'-x,-y,z'
'x,y,-z'
'x+1/2,-y+1/2,-z'
'-x+1/2,y+1/2,z'
'-x+1/2,y+1/2,-z'
'x+1/2,-y+1/2,z'
loop_
_atom_site_label
_atom_site_type_symbol
_atom_site_fract_x
_atom_site_fract_y
_atom_site_fract_z
Ce1 Ce 0.000 0.000 0.000
Ce2 Ce 0.130 0.298 0.000
Ce3 Ce 0.207 0.558 0.500
Te1 Te 0.087 0.822 0.500
Os1 Os 0.000 0.500 0.000
```

***

# 2
Compound: Ce3TeOs
Source: the Alexandria database
Functional: PBE
Structure: relaxed

Results
E, eV per atom: -7.041
E_form (uncorrected), eV/atom: -0.6067
Spin magnetization, μB/cell: 6.3
Energy above the lowest structure with this stoichiometry, eV per atom: 0.000

```
data_Ce3TeOs
_chemical_formula_sum 'Ce12 Te4 Os4'
_cell_length_a 11.428
_cell_length_b 4.344
_cell_length_c 11.042
_cell_angle_alpha 90.00
_cell_angle_beta 104.64
_cell_angle_gamma 90.00
_symmetry_space_group_name_H-M 'C 1 2/m 1'
_symmetry_Int_Tables_number 12
loop_
_symmetry_equiv_pos_as_xyz
'x,y,z'
'-x,-y,-z'
'-x,y,-z'
'x,-y,z'
'x+1/2,y+1/2,z'
'-x+1/2,-y+1/2,-z'
'-x+1/2,y+1/2,-z'
'x+1/2,-y+1/2,z'
loop_
_atom_site_label
_atom_site_type_symbol
_atom_site_fract_x
_atom_site_fract_y
_atom_site_fract_z
Ce1 Ce 0.071 0.000 0.388
Ce2 Ce 0.124 0.500 0.131
Ce3 Ce 0.132 0.500 0.659
Te1 Te 0.102 0.000 0.893
Os1 Os 0.227 0.500 0.394
```

***

# 3
Compound: Ce5Te2Os
Source: the Alexandria database
Functional: PBE
Structure: relaxed

Results
E, eV per atom: -6.369
E_form (uncorrected), eV/atom: -0.4711
Spin magnetization, μB/cell: 23.7
Energy above the lowest structure with this stoichiometry, eV per atom: 0.276

```
data_Ce5Te2Os
_chemical_formula_sum 'Ce20 Te8 Os4'
_cell_length_a 5.717
_cell_length_b 9.382
_cell_length_c 16.478
_cell_angle_alpha 90.00
_cell_angle_beta 90.00
_cell_angle_gamma 90.00
_symmetry_space_group_name_H-M 'C m c m'
_symmetry_Int_Tables_number 63
_symmetry_space_group_name_Hall '-C 2c 2'
loop_
_atom_site_label
_atom_site_type_symbol
_atom_site_fract_x
_atom_site_fract_y
_atom_site_fract_z
Ce1 Ce 0.000 0.059 0.096
Ce2 Ce 0.000 0.259 0.750
Ce3 Ce 0.000 0.391 0.133
Te1 Te 0.000 0.281 0.561
Os1 Os 0.000 0.154 0.250
```

***

# 4
Compound: CeTeOs
Source: the Alexandria database
Functional: PBE
Structure: relaxed

Results
E, eV per atom: -6.892
E_form (uncorrected), eV/atom: -0.1235
Spin magnetization, μB/cell: 0.0

```
data_CeTeOs
_chemical_formula_sum 'Ce2 Te2 Os2'
_cell_length_a 4.211
_cell_length_b 4.493
_cell_length_c 8.656
_cell_angle_alpha 81.37
_cell_angle_beta 86.28
_cell_angle_gamma 72.18
_symmetry_space_group_name_H-M 'P 1'
_symmetry_Int_Tables_number 1
loop_
_symmetry_equiv_pos_as_xyz
'x,y,z'
loop_
_atom_site_label
_atom_site_type_symbol
_atom_site_fract_x
_atom_site_fract_y
_atom_site_fract_z
Ce1 Ce 0.000 0.000 0.000
Ce2 Ce 0.355 0.475 0.749
Te1 Te 0.195 0.091 0.508
Te2 Te 0.635 0.586 0.236
Os1 Os 0.264 0.222 0.170
Os2 Os 0.753 0.928 0.724
```

***

# 5
Compound: CeThTeOs
Source: the Alexandria database
Functional: PBE
Structure: relaxed

Results
E, eV per atom: -7.655
E_form (uncorrected), eV/atom: -0.7232
Spin magnetization, μB/cell: 0.5

```
data_CeThTeOs
_chemical_formula_sum 'Ce3 Th3 Te3 Os3'
_cell_length_a 4.1320
_cell_length_b 4.1320
_cell_length_c 23.0857
_cell_angle_alpha 90.00
_cell_angle_beta 90.00
_cell_angle_gamma 120.00
_symmetry_space_group_name_H-M 'R 3 m'
_symmetry_Int_Tables_number 160
_symmetry_space_group_name_Hall 'R 3 -2"'
loop_
_atom_site_label
_atom_site_type_symbol
_atom_site_fract_x
_atom_site_fract_y
_atom_site_fract_z
Ce1 Ce 0.0000 0.0000 0.0000
Th1 Th 0.0000 0.0000 0.2002
Te1 Te 0.0000 0.0000 0.4308
Os1 Os 0.0000 0.0000 0.6033
```

***

# 6
Compound: Ce5ThOs3
Source: the Alexandria database
Functional: PBE
Structure: relaxed

Results
E, eV per atom: -7.937
Spin magnetization, μB/cell: 11.5
Calculated formation energy, meV/atom: -73

```
data_Ce5ThOs3
_chemical_formula_sum 'Ce20 Th4 Os12'
_cell_length_a 12.578
_cell_length_b 9.205
_cell_length_c 10.229
_cell_angle_alpha 90.00
_cell_angle_beta 113.48
_cell_angle_gamma 90.00
_symmetry_space_group_name_H-M 'C 1 2/m 1'
_symmetry_Int_Tables_number 12
loop_
_symmetry_equiv_pos_as_xyz
'x,y,z'
'-x,-y,-z'
'-x,y,-z'
'x,-y,z'
'x+1/2,y+1/2,z'
'-x+1/2,-y+1/2,-z'
'-x+1/2,y+1/2,-z'
'x+1/2,-y+1/2,z'
loop_
_atom_site_label
_atom_site_type_symbol
_atom_site_fract_x
_atom_site_fract_y
_atom_site_fract_z
Ce1 Ce 0.000 0.196 0.000
Ce2 Ce 0.071 0.000 0.371
Ce3 Ce 0.165 0.303 0.669
Ce4 Ce 0.232 0.500 0.034
Th1 Th 0.105 0.500 0.300
Os1 Os 0.000 0.500 0.000
Os2 Os 0.000 0.500 0.500
Os3 Os 0.163 0.000 0.669
Os4 Os 0.168 0.000 0.166
```

***

- Among the records above, which one has the lowest spin magnetization?
  CeTeOs

***

Please write out number 2 again, unchanged.
Compound: Ce3TeOs
Source: the Alexandria database
Functional: PBE
Structure: relaxed

Results
E, eV per atom: -7.041
E_form (uncorrected), eV/atom: -0.6067
Spin magnetization, μB/cell: 6.3
Energy above the lowest structure with this stoichiometry, eV per atom: 0.000

```
data_Ce3TeOs
_chemical_formula_sum 'Ce12 Te4 Os4'
_cell_length_a 11.428
_cell_length_b 4.344
_cell_length_c 11.042
_cell_angle_alpha 90.00
_cell_angle_beta 104.64
_cell_angle_gamma 90.00
_symmetry_space_group_name_H-M 'C 1 2/m 1'
_symmetry_Int_Tables_number 12
loop_
_symmetry_equiv_pos_as_xyz
'x,y,z'
'-x,-y,-z'
'-x,y,-z'
'x,-y,z'
'x+1/2,y+1/2,z'
'-x+1/2,-y+1/2,-z'
'-x+1/2,y+1/2,-z'
'x+1/2,-y+1/2,z'
loop_
_atom_site_label
_atom_site_type_symbol
_atom_site_fract_x
_atom_site_fract_y
_atom_site_fract_z
Ce1 Ce 0.071 0.000 0.388
Ce2 Ce 0.124 0.500 0.131
Ce3 Ce 0.132 0.500 0.659
Te1 Te 0.102 0.000 0.893
Os1 Os 0.227 0.500 0.394
```

***

What did the fifth record say?
Compound: CeThTeOs
Source: the Alexandria database
Functional: PBE
Structure: relaxed

Results
E, eV per atom: -7.655
E_form (uncorrected), eV/atom: -0.7232
Spin magnetization, μB/cell: 0.5

```
data_CeThTeOs
_chemical_formula_sum 'Ce3 Th3 Te3 Os3'
_cell_length_a 4.1320
_cell_length_b 4.1320
_cell_length_c 23.0857
_cell_angle_alpha 90.00
_cell_angle_beta 90.00
_cell_angle_gamma 120.00
_symmetry_space_group_name_H-M 'R 3 m'
_symmetry_Int_Tables_number 160
_symmetry_space_group_name_Hall 'R 3 -2"'
loop_
_atom_site_label
_atom_site_type_symbol
_atom_site_fract_x
_atom_site_fract_y
_atom_site_fract_z
Ce1 Ce 0.0000 0.0000 0.0000
Th1 Th 0.0000 0.0000 0.2002
Te1 Te 0.0000 0.0000 0.4308
Os1 Os 0.0000 0.0000 0.6033
```

***

- What is the formula in the fifth record?
  CeThTeOs